# BeBiSeBr2

BeBiSeBr2 at its PBEsol-relaxed geometry (SCAN, Alexandria).

ΔE_f (raw) = -0.163 eV per atom
crystal system = tetragonal
offset from the most stable computed form = 0.0 kJ/mol of formula units

a = 4.6284 Å, b = 4.6284 Å, c = 5.0093 Å
α = 90.00°, β = 90.00°, γ = 90.00°
Last column: nearest neighbours and their distance in Å.
Fractional positions:
1 Be 0.0000 0.0000 0.0000  4 Br 2.31, 2 Se 2.50
2 Se 0.0000 0.0000 0.5000  2 Be 2.50
3 Bi 0.5000 0.5000 0.5000  4 Se 3.27, 8 Br 3.41
4 Br 0.0000 0.5000 0.0000  2 Be 2.31
5 Br 0.5000 0.0000 0.0000  2 Be 2.31


# BeBiPtC2

BeBiPtC2 at its PBEsol-relaxed geometry (SCAN, Alexandria).

ΔH_f (0 K) = 3.2030 eV per atom
crystal system = tetragonal

a = 4.4201 Å, b = 4.4201 Å, c = 4.5606 Å
α = 90.00°, β = 90.00°, γ = 90.00°
Last column: nearest neighbours and their distance in Å.
Fractional positions:
1 Be 0.0000 0.0000 0.5000  2 Bi 2.28
2 C 0.0000 0.5000 0.0000  2 Bi 2.21
3 C 0.5000 0.0000 0.0000  2 Bi 2.21
4 Bi 0.0000 0.0000 0.0000  4 C 2.21, 2 Be 2.28
5 Pt 0.5000 0.5000 0.5000  4 Be 3.13, 8 C 3.18


# CaBe3Bi

CaBe3Bi at its PBEsol-relaxed geometry (SCAN, Alexandria).

ΔH_f (0 K) = 1.8604 eV per atom
crystal system = cubic

a = 4.8974 Å, b = 4.8974 Å, c = 4.8974 Å
α = 90.00°, β = 90.00°, γ = 90.00°
Last column: nearest neighbours and their distance in Å.
Fractional positions:
1 Be 0.0000 0.5000 0.0000  2 Ca 2.45
2 Be 0.0000 0.0000 0.5000  2 Ca 2.45
3 Be 0.5000 0.0000 0.0000  2 Ca 2.45
4 Ca 0.0000 0.0000 0.0000  6 Be 2.45
5 Bi 0.5000 0.5000 0.5000  12 Be 3.46


# CsCaBeBi2

CsCaBeBi2 at its PBEsol-relaxed geometry (SCAN, Alexandria).

ΔH_f (0 K) = 1.6413 eV per atom
crystal system = tetragonal

a = 5.9442 Å, b = 6.1718 Å, c = 6.1718 Å
α = 90.00°, β = 90.00°, γ = 90.00°
Last column: nearest neighbours and their distance in Å.
Fractional positions:
1 Cs 0.0000 0.0000 0.0000  2 Ca 2.97, 4 Bi 3.09
2 Be 0.5000 0.5000 0.5000  8 Bi 4.28, 4 Ca 4.36
3 Ca 0.5000 0.0000 0.0000  2 Cs 2.97
4 Bi 0.0000 0.0000 0.5000  2 Cs 3.09
5 Bi 0.0000 0.5000 0.0000  2 Cs 3.09


# Na2CaBeBi

Na2CaBeBi at its PBEsol-relaxed geometry (SCAN, Alexandria).

ΔH_f (0 K) = 0.1854 eV per atom
crystal system = tetragonal

a = 5.1902 Å, b = 5.1902 Å, c = 5.1804 Å
α = 90.00°, β = 90.00°, γ = 90.00°
Last column: nearest neighbours and their distance in Å.
Fractional positions:
1 Na 0.0000 0.5000 0.0000  2 Be 2.60
2 Na 0.5000 0.0000 0.0000  2 Be 2.60
3 Ca 0.5000 0.5000 0.5000  8 Na 3.67, 4 Bi 3.67
4 Bi 0.0000 0.0000 0.5000  2 Be 2.59
5 Be 0.0000 0.0000 0.0000  2 Bi 2.59, 4 Na 2.60


# Be3CdBi

Be3CdBi at its PBEsol-relaxed geometry (SCAN, Alexandria).

ΔH_f (0 K) = 1.4036 eV per atom
crystal system = cubic

a = 4.8140 Å, b = 4.8140 Å, c = 4.8140 Å
α = 90.00°, β = 90.00°, γ = 90.00°
Last column: nearest neighbours and their distance in Å.
Fractional positions:
1 Be 0.0000 0.5000 0.0000  2 Bi 2.41
2 Be 0.0000 0.0000 0.5000  2 Bi 2.41
3 Be 0.5000 0.0000 0.0000  2 Bi 2.41
4 Bi 0.0000 0.0000 0.0000  6 Be 2.41
5 Cd 0.5000 0.5000 0.5000  12 Be 3.40


# BeBi2Cl

BeBi2Cl at its PBEsol-relaxed geometry (SCAN, Alexandria).

ΔE_f (raw) = 0.339 eV per atom
crystal system = cubic

a = 4.9972 Å, b = 4.9972 Å, c = 4.9972 Å
α = 60.00°, β = 60.00°, γ = 60.00°
Last column: nearest neighbours and their distance in Å.
Fractional positions:
1 Be 0.0000 0.0000 0.0000  8 Bi 3.06
2 Bi 0.2500 0.2500 0.2500  4 Cl 3.06, 4 Be 3.06
3 Bi 0.7500 0.7500 0.7500  4 Be 3.06, 4 Cl 3.06
4 Cl 0.5000 0.5000 0.5000  8 Bi 3.06


# KBeBiCl2

KBeBiCl2 at its PBEsol-relaxed geometry (SCAN, Alexandria).

ΔE_f (raw) = -0.188 eV per atom
crystal system = tetragonal

a = 4.4500 Å, b = 4.4500 Å, c = 9.3505 Å
α = 90.00°, β = 90.00°, γ = 90.00°
Last column: nearest neighbours and their distance in Å.
Fractional positions:
1 Be 0.0000 0.0000 0.0000  4 Cl 2.22
2 K 0.0000 0.0000 0.5000  4 Bi 3.15
3 Bi 0.5000 0.5000 0.5000  4 K 3.15
4 Cl 0.0000 0.5000 0.0000  2 Be 2.22
5 Cl 0.5000 0.0000 0.0000  2 Be 2.22


# MnBeBi2Cl

MnBeBi2Cl at its PBEsol-relaxed geometry (SCAN, Alexandria).

ΔE_f (raw) = 0.292 eV per atom
crystal system = tetragonal

a = 4.2868 Å, b = 4.9541 Å, c = 4.9541 Å
α = 90.00°, β = 90.00°, γ = 90.00°
Last column: nearest neighbours and their distance in Å.
Fractional positions:
1 Be 0.5000 0.0000 0.0000  2 Mn 2.14
2 Mn 0.0000 0.0000 0.0000  2 Be 2.14
3 Bi 0.0000 0.0000 0.5000  2 Mn 2.48
4 Bi 0.0000 0.5000 0.0000  2 Mn 2.48
5 Cl 0.5000 0.5000 0.5000  8 Bi 3.28, 4 Be 3.50


# BeBiPb2Cl

BeBiPb2Cl at its PBEsol-relaxed geometry (SCAN, Alexandria).

ΔE_f (raw) = 0.504 eV per atom
crystal system = tetragonal

a = 4.3546 Å, b = 6.2679 Å, c = 6.2679 Å
α = 90.00°, β = 90.00°, γ = 90.00°
Last column: nearest neighbours and their distance in Å.
Fractional positions:
1 Pb 0.0000 0.0000 0.5000  2 Bi 3.13
2 Pb 0.0000 0.5000 0.0000  2 Bi 3.13
3 Be 0.5000 0.0000 0.0000  2 Bi 2.18
4 Bi 0.0000 0.0000 0.0000  2 Be 2.18
5 Cl 0.5000 0.5000 0.5000  8 Pb 3.82


# BeTc2BiCl

BeTc2BiCl at its PBEsol-relaxed geometry (SCAN, Alexandria).

ΔE_f (raw) = 1.172 eV per atom
crystal system = tetragonal

a = 3.8532 Å, b = 4.5394 Å, c = 4.5394 Å
α = 90.00°, β = 90.00°, γ = 90.00°
Last column: nearest neighbours and their distance in Å.
Fractional positions:
1 Be 0.5000 0.0000 0.0000  2 Cl 1.93
2 Cl 0.0000 0.0000 0.0000  2 Be 1.93
3 Bi 0.5000 0.5000 0.5000  8 Tc 2.98, 4 Be 3.21
4 Tc 0.0000 0.0000 0.5000  2 Cl 2.27
5 Tc 0.0000 0.5000 0.0000  2 Cl 2.27


# BeBiW2Cl

BeBiW2Cl at its PBEsol-relaxed geometry (SCAN, Alexandria).

ΔE_f (raw) = 1.546 eV per atom
crystal system = tetragonal

a = 3.9580 Å, b = 4.5974 Å, c = 4.5974 Å
α = 90.00°, β = 90.00°, γ = 90.00°
Last column: nearest neighbours and their distance in Å.
Fractional positions:
1 Be 0.0000 0.0000 0.0000  2 Cl 1.98
2 Bi 0.5000 0.5000 0.5000  8 W 3.03, 4 Cl 3.25
3 W 0.0000 0.0000 0.5000  2 Be 2.30
4 W 0.0000 0.5000 0.0000  2 Be 2.30
5 Cl 0.5000 0.0000 0.0000  2 Be 1.98